DFT (PBE-GGA) results for a geometry-optimized TcGeTe2 structure.

```
data_TcGeTe2
_chemical_formula_sum 'Tc3 Ge3 Te6'
_cell_length_a 3.3928
_cell_length_b 3.3928
_cell_length_c 29.3506
_cell_angle_alpha 90.00
_cell_angle_beta 90.00
_cell_angle_gamma 120.00
_symmetry_space_group_name_H-M 'R -3 m'
_symmetry_Int_Tables_number 166
_symmetry_space_group_name_Hall '-R 3 2"'
loop_
_atom_site_label
_atom_site_fract_x
_atom_site_fract_y
_atom_site_fract_z
Tc1 0.0000 0.0000 0.0000
Ge1 0.0000 0.0000 0.5000
Te1 0.0000 0.0000 0.3975
```

DFT (PBE-GGA) results for a geometry-optimized LiSm2HoS5 structure.

```
data_LiSm2HoS5
_chemical_formula_sum 'Li4 Sm8 Ho4 S20'
_cell_length_a 3.944
_cell_length_b 16.371
_cell_length_c 11.843
_cell_angle_alpha 90.00
_cell_angle_beta 90.00
_cell_angle_gamma 90.00
_symmetry_space_group_name_H-M 'C m c 21'
_symmetry_Int_Tables_number 36
_symmetry_space_group_name_Hall 'C 2c -2'
loop_
_atom_site_label
_atom_site_fract_x
_atom_site_fract_y
_atom_site_fract_z
Li1 0.000 0.014 0.000
Sm1 0.000 0.376 0.815
Sm2 0.000 0.392 0.203
Ho1 0.000 0.303 0.520
S1 0.000 0.000 0.302
S2 0.000 0.137 0.517
S3 0.000 0.192 0.862
S4 0.000 0.213 0.180
S5 0.000 0.453 0.590
```

DFT (PBE-GGA) results for a geometry-optimized CsEr2Se3 structure.

Values from the calculation:
As for the polymorph energy (0 for the lowest one): 0.0 meV/atom.

```
data_CsEr2Se3
_chemical_formula_sum 'Cs4 Er8 Se12'
_cell_length_a 12.903
_cell_length_b 7.450
_cell_length_c 7.547
_cell_angle_alpha 90.00
_cell_angle_beta 90.00
_cell_angle_gamma 90.00
_symmetry_space_group_name_H-M 'C m c m'
_symmetry_Int_Tables_number 63
_symmetry_space_group_name_Hall '-C 2c 2'
loop_
_atom_site_label
_atom_site_fract_x
_atom_site_fract_y
_atom_site_fract_z
Cs1 0.000 0.001 0.250
Er1 0.167 0.500 0.000
Se1 0.000 0.500 0.250
Se2 0.250 0.249 0.750
```

DFT (PBE-GGA) results for a geometry-optimized RbLiAsO4 structure.

```
data_RbLiAsO4
_chemical_formula_sum 'Rb2 Li2 As2 O8'
_cell_length_a 5.752
_cell_length_b 5.752
_cell_length_c 7.952
_cell_angle_alpha 90.00
_cell_angle_beta 90.00
_cell_angle_gamma 90.00
_symmetry_space_group_name_H-M 'I -4'
_symmetry_Int_Tables_number 82
_symmetry_space_group_name_Hall 'I -4'
loop_
_atom_site_label
_atom_site_fract_x
_atom_site_fract_y
_atom_site_fract_z
Rb1 0.000 0.000 0.000
Li1 0.000 0.500 0.250
As1 0.000 0.000 0.500
O1 0.091 0.773 0.377
```

DFT (PBE-GGA) results for a geometry-optimized LaFeCl2 structure.

Values from the calculation:
As for the polymorph energy (0 for the lowest one): 415.3 meV/atom.

```
data_LaFeCl2
_chemical_formula_sum 'La2 Fe2 Cl4'
_cell_length_a 3.445
_cell_length_b 6.444
_cell_length_c 8.339
_cell_angle_alpha 90.00
_cell_angle_beta 90.00
_cell_angle_gamma 90.00
_symmetry_space_group_name_H-M 'C m m m'
_symmetry_Int_Tables_number 65
_symmetry_space_group_name_Hall '-C 2 2'
loop_
_atom_site_label
_atom_site_fract_x
_atom_site_fract_y
_atom_site_fract_z
La1 0.000 0.000 0.000
Fe1 0.000 0.000 0.500
Cl1 0.000 0.500 0.293
```

DFT (PBE-GGA) results for a geometry-optimized CaSc3Tl2 structure.

Values from the calculation:
The calculation puts the formation energy at -0.112 eV/atom.

```
data_CaSc3Tl2
_chemical_formula_sum 'Ca4 Sc12 Tl8'
_cell_length_a 17.849
_cell_length_b 4.764
_cell_length_c 9.391
_cell_angle_alpha 90.00
_cell_angle_beta 121.27
_cell_angle_gamma 90.00
_symmetry_space_group_name_H-M 'C 1 2/m 1'
_symmetry_Int_Tables_number 12
_symmetry_space_group_name_Hall '-C 2y'
loop_
_atom_site_label
_atom_site_fract_x
_atom_site_fract_y
_atom_site_fract_z
Ca1 0.139 0.000 0.182
Sc1 0.030 0.000 0.687
Sc2 0.098 0.500 0.523
Sc3 0.179 0.500 0.916
Tl1 0.004 0.500 0.160
Tl2 0.205 0.000 0.714
```

| no. | electronic total energy (eV per atom) |
| --- | --- |
| 1 | -5.05 |
| 2 | -5.97 |
| 3 | -4.99 |
| 4 | -5.35 |
| 5 | -4.78 |
| 6 | -4.40 |